This record from Alexandria via LeMat-Bulk describes crystalline Pm3Fe3Ge8 at its relaxed geometry. The functional is PBE.

Cell: 4.3720 8.2402 8.8087 Å, 59.23 75.63 74.62°
Last column: magnetic moment on the atom in μB.
Fractional coordinates of all 14 atoms:
Pm  0.2839  0.7548  0.6774  0.01
Pm  0.7161  0.2452  0.3226  0.01
Pm  0.0000  0.0000  0.0000  -0.04
Fe  0.0000  0.5000  0.5000  -1.67
Fe  0.6684  0.6649  0.9983  1.33
Fe  0.3316  0.3351  0.0017  1.33
Ge  0.1176  0.1694  0.5953  0.01
Ge  0.8824  0.8306  0.4047  0.01
Ge  0.8394  0.4379  0.8834  -0.02
Ge  0.1606  0.5621  0.1166  -0.02
Ge  0.5236  0.6553  0.2974  0.03
Ge  0.4764  0.3447  0.7026  0.03
Ge  0.3644  0.0264  0.2447  -0.01
Ge  0.6356  0.9736  0.7553  -0.01

Results
The value obtained for the formation energy from the elements is -371 meV/atom.